# Na3MnIn3O8

A relaxed structure of Na3MnIn3O8 (PBE with a Hubbard U, Alexandria via LeMat-Bulk).

Cell lengths 6.4154, 6.4154, 16.6739 Å; angles 90.00, 90.00, 120.00 degrees
Space group R-3m (No. 166, hexagonal axes)
Inequivalent atoms, fractional coordinates:
Na1 0.0000 0.5000 0.0000
Mn1 0.0000 0.0000 0.5000
In1 0.0000 0.5000 0.5000
O1 0.0000 0.0000 0.2371
O2 0.0345 0.5172 0.2319

* calculated volume: 594.41 Å³ per cell
* electronic total energy: -5.543 eV/atom

=====

# Na4MnIn3O8

A relaxed structure of Na4MnIn3O8 (PBE with a Hubbard U, Alexandria via LeMat-Bulk).

Cell lengths 11.132, 6.540, 6.675 Å; angles 90.00, 124.37, 90.00 degrees
Space group C2/m (No. 12)
Inequivalent atoms, fractional coordinates:
Na1 0.000 0.000 0.000
Na2 0.000 0.500 0.000
Na3 0.250 0.250 0.000
Mn1 0.000 0.000 0.500
In1 0.000 0.500 0.500
In2 0.250 0.250 0.500
O1 0.011 0.249 0.286
O2 0.216 0.000 0.699
O3 0.241 0.500 0.715

* calculated volume: 401.13 Å³ per cell
* electronic total energy: -5.408 eV/atom

=====

# NaMn3In2O6

A relaxed structure of NaMn3In2O6 (PBE with a Hubbard U, Alexandria via LeMat-Bulk).

Cell lengths 14.097, 3.293, 6.619 Å; angles 90.00, 103.58, 90.00 degrees
Space group C2/m (No. 12)
Inequivalent atoms, fractional coordinates:
Na1 0.000 0.000 0.000
Mn1 0.000 0.000 0.500
Mn2 0.162 0.500 0.835
In1 0.161 0.500 0.324
O1 0.002 0.500 0.730
O2 0.170 0.000 0.584
O3 0.175 0.000 0.086

* calculated volume: 298.68 Å³ per cell
* electronic total energy: -6.370 eV/atom

=====

# Na2MnIn2O6

A relaxed structure of Na2MnIn2O6 (PBE with a Hubbard U, Alexandria via LeMat-Bulk).

Cell lengths 5.527, 9.449, 5.859 Å; angles 90.00, 106.78, 90.00 degrees
Space group C2/m (No. 12)
Inequivalent atoms, fractional coordinates:
Na1 0.000 0.160 0.000
Mn1 0.000 0.000 0.500
In1 0.000 0.336 0.500
O1 0.208 0.154 0.695
O2 0.236 0.000 0.307

* calculated volume: 292.92 Å³ per cell
* electronic total energy: -5.666 eV/atom

=====

# Na2MnInSi2O9

A relaxed structure of Na2MnInSi2O9 (PBE with a Hubbard U, Alexandria via LeMat-Bulk).

Cell lengths 16.253, 7.323, 7.356 Å; angles 90.00, 90.00, 90.00 degrees
Space group Cmc2_1 (No. 36)
Inequivalent atoms, fractional coordinates:
Na1 0.223 0.046 0.000
Mn1 0.000 0.350 0.911
In1 0.000 0.040 0.512
Si1 0.123 0.307 0.262
O1 0.000 0.143 0.778
O2 0.077 0.224 0.076
O3 0.081 0.500 0.331
O4 0.111 0.155 0.422
O5 0.219 0.342 0.218

* calculated volume: 875.47 Å³ per cell
* electronic total energy: -6.409 eV/atom